#i
The following is a DFT calculation (PBE) of a relaxed structure of NaPmNO.

a = 4.7865 Å, b = 4.2659 Å, c = 6.7578 Å
α = 90.00°, β = 90.00°, γ = 90.00°
Space group Pmma (No. 51)
Asymmetric unit:
Na 0.2500 0.0000 0.1810
Pm 0.2500 0.5000 0.6922
N 0.2500 0.0000 0.8330
O 0.2500 0.5000 0.3567

Values from the calculation:
M_tot = 2.0 μB/cell

---

#ii
The following is a DFT calculation (PBE) of a relaxed structure of NaPmNO.

a = 4.7934 Å, b = 3.9544 Å, c = 7.3527 Å
α = 90.00°, β = 90.00°, γ = 90.00°
Space group Pmma (No. 51)
Asymmetric unit:
Na 0.2500 0.0000 0.1440
Pm 0.2500 0.5000 0.6870
N 0.2500 0.5000 0.3634
O 0.2500 0.0000 0.8327

Values from the calculation:
M_tot = 1.6 μB/cell

---

#ii wins, 23 meV/atom ahead of the next structure.

---

#i
The following is a DFT calculation (PBE) of a relaxed structure of MgSnIr2.

a = 4.4880 Å, b = 4.4880 Å, c = 8.1154 Å
α = 90.00°, β = 90.00°, γ = 120.00°
Space group P6_3/mmc (No. 194)
Asymmetric unit:
Mg 0.0000 0.0000 0.0000
Sn 0.3333 0.6667 0.2500
Ir 0.3333 0.6667 0.5931

Values from the calculation:
M_tot = 0.0 μB/cell

---

#ii
The following is a DFT calculation (PBE) of a relaxed structure of MgSnIr2.

a = 4.5215 Å, b = 4.5215 Å, c = 6.3113 Å
α = 90.00°, β = 90.00°, γ = 90.00°
Space group I4/mmm (No. 139)
Asymmetric unit:
Mg 0.0000 0.0000 0.0000
Sn 0.0000 0.0000 0.5000
Ir 0.0000 0.5000 0.2500

Values from the calculation:
M_tot = 0.0 μB/cell

---

#ii wins, 214 meV/atom ahead of the next structure.

---

#i
The following is a DFT calculation (PBE) of a relaxed structure of TaNbNO.

a = 5.6269 Å, b = 7.0162 Å, c = 5.3049 Å
α = 90.00°, β = 90.00°, γ = 90.00°
Space group Pca2_1 (No. 29)
Asymmetric unit:
Ta 0.0425 0.1159 0.0000
Nb 0.1442 0.6644 0.0283
N 0.1043 0.1411 0.6220
O 0.0134 0.3924 0.1629

Values from the calculation:
M_tot = 0.0 μB/cell

---

#ii
The following is a DFT calculation (PBE) of a relaxed structure of TaNbNO.

a = 4.3713 Å, b = 4.3713 Å, c = 4.5644 Å
α = 90.00°, β = 90.00°, γ = 90.00°
Space group P4/nmm (No. 129, origin choice 2)
Asymmetric unit:
Ta 0.2500 0.7500 0.0000
Nb 0.2500 0.2500 0.4260
N 0.2500 0.2500 0.9218
O 0.2500 0.7500 0.5000

Values from the calculation:
M_tot = 0.0 μB/cell

---

#i wins, 83 meV/atom ahead of the next structure.